Record 1
First-principles (GGA-PBEsol) data for a relaxed CaY2Cd crystal, as listed in the Alexandria database.

The magnetic moment is 0.00 μB per formula unit. As for the formation energy: -96 meV/atom. As for the calculated total energy: -17.36 eV for the cell shown.

The space group is P4/mmm (No. 123) and the conventional cell measures 3.679, 3.679 and 9.016 Å, with angles of 90.00, 90.00 and 90.00 degrees. Symmetry generates all atoms from Ca at (0.000, 0.000, 0.000), Y at (0.500, 0.500, 0.301) and Cd at (0.000, 0.000, 0.500).


Record 2
First-principles (GGA-PBEsol) data for a relaxed Ca2YCd2 crystal, as listed in the Alexandria database.

The magnetic moment is 0.00 μB per formula unit. As for the formation energy: -206 meV/atom. As for the calculated total energy: -29.02 eV for the cell shown.

The space group is P4/mbm (No. 127) and the conventional cell measures 8.211, 8.211 and 4.307 Å, with angles of 90.00, 90.00 and 90.00 degrees. Symmetry generates all atoms from Ca at (0.169, 0.331, 0.000), Y at (0.000, 0.000, 0.500) and Cd at (0.129, 0.629, 0.500).


Record 3
First-principles (GGA-PBEsol) data for a relaxed CaYCd4 crystal, as listed in the Alexandria database.

The magnetic moment is 0.00 μB per formula unit. As for the formation energy: -323 meV/atom. As for the calculated total energy: -62.73 eV for the cell shown.

The space group is F-43m (No. 216) and the conventional cell measures 8.251, 8.251 and 8.251 Å, with angles of 90.00, 90.00 and 90.00 degrees. Symmetry generates all atoms from Ca at (0.000, 0.000, 0.000), Y at (0.250, 0.250, 0.750) and Cd at (0.125, 0.125, 0.375).


Record 4
First-principles (GGA-PBEsol) data for a relaxed CaY2Cd crystal, as listed in the Alexandria database.

The magnetic moment is 0.00 μB per formula unit. As for the formation energy: -129 meV/atom. As for the calculated total energy: -34.98 eV for the cell shown.

The space group is Immm (No. 71) and the conventional cell measures 3.690, 5.441 and 11.718 Å, with angles of 90.00, 90.00 and 90.00 degrees. Symmetry generates all atoms from Ca at (0.000, 0.000, 0.000), Y at (0.000, 0.500, 0.216) and Cd at (0.000, 0.000, 0.500).